## Be2Pt2Pb (PBEsol)

Data for an optimized crystal structure of Be2Pt2Pb.

For the total magnetization, the calculation gives 0.001 μB per cell. The value obtained for the formation enthalpy at 0 K is -0.32 eV/atom. Its density of states at the Fermi level is 3.52 states/eV per cell. The uncorrected energy is -55.09 eV per cell.

The space group is I4/mmm (No. 139) and the conventional cell measures 3.485, 3.485 and 12.403 Å, with angles of 90.00, 90.00 and 90.00 degrees. The distinct sites, in fractional coordinates, are Be at (0.000, 0.500, 0.250), Pt at (0.000, 0.000, 0.127) and Pb at (0.000, 0.000, 0.500).



## BePt2Pb (PBEsol)

Data for an optimized crystal structure of BePt2Pb.

For the total magnetization, the calculation gives 0.000 μB per cell. The value obtained for the formation enthalpy at 0 K is 0.07 eV/atom. Its density of states at the Fermi level is 3.23 states/eV per cell. The uncorrected energy is -43.27 eV per cell.

The space group is Cmmm (No. 65) and the conventional cell measures 5.632, 6.123 and 3.695 Å, with angles of 90.00, 90.00 and 90.00 degrees. The distinct sites, in fractional coordinates, are Be at (0.000, 0.000, 0.000), Pt at (0.250, 0.250, 0.500) and Pb at (0.000, 0.500, 0.000).



## BeReSiPb2 (PBEsol)

Data for an optimized crystal structure of BeReSiPb2.

For the total magnetization, the calculation gives 1.433 μB per cell. Its density of states at the Fermi level is 3.01 states/eV per cell. The uncorrected energy is -23.50 eV per cell. The value obtained for the formation energy from raw total energies is 1.52 eV per atom.

The space group is P4/mmm (No. 123) and the conventional cell measures 5.274, 5.274 and 4.522 Å, with angles of 90.00, 90.00 and 90.00 degrees. The distinct sites, in fractional coordinates, are Be at (0.000, 0.000, 0.000), Re at (0.500, 0.500, 0.000), Si at (0.500, 0.500, 0.500) and Pb at (0.000, 0.500, 0.500).



## BeRhPb3 (PBEsol)

Data for an optimized crystal structure of BeRhPb3.

For the total magnetization, the calculation gives 0.000 μB per cell. The value obtained for the formation enthalpy at 0 K is 0.66 eV/atom. Its density of states at the Fermi level is 4.60 states/eV per cell. The uncorrected energy is -20.82 eV per cell.

The space group is Pm-3m (No. 221) and the conventional cell measures 5.188, 5.188 and 5.188 Å, with angles of 90.00, 90.00 and 90.00 degrees. The distinct sites, in fractional coordinates, are Be at (0.000, 0.000, 0.000), Rh at (0.500, 0.500, 0.500) and Pb at (0.000, 0.500, 0.500).



## BeRuPb (PBEsol)

Data for an optimized crystal structure of BeRuPb.

For the total magnetization, the calculation gives 0.000 μB per cell. The value obtained for the formation enthalpy at 0 K is 0.56 eV/atom. The calculation puts the polymorph energy (0 for the lowest one) at 0.083 eV per atom. Its density of states at the Fermi level is 2.56 states/eV per cell. The uncorrected energy is -16.48 eV per cell.

The space group is P3m1 (No. 156) and the conventional cell measures 3.0684, 3.0684 and 6.0664 Å, with angles of 90.00, 90.00 and 120.00 degrees. The distinct sites, in fractional coordinates, are Be at (0.0000, 0.0000, 0.0000), Ru at (0.3333, 0.6667, 0.2371) and Pb at (0.6667, 0.3333, 0.6055).



## BeRuPb (PBEsol)

Data for an optimized crystal structure of BeRuPb.

For the total magnetization, the calculation gives 0.000 μB per cell. The value obtained for the formation enthalpy at 0 K is 0.48 eV/atom. The calculation puts the polymorph energy (0 for the lowest one) at 0.000 eV per atom. Its density of states at the Fermi level is 6.39 states/eV per cell. The uncorrected energy is -66.91 eV per cell.

The space group is F-43m (No. 216) and the conventional cell measures 5.734, 5.734 and 5.734 Å, with angles of 90.00, 90.00 and 90.00 degrees. The distinct sites, in fractional coordinates, are Be at (0.000, 0.000, 0.000), Ru at (0.250, 0.250, 0.250) and Pb at (0.250, 0.250, 0.750).



## Be2SiRuPb (PBEsol)

Data for an optimized crystal structure of Be2SiRuPb.

For the total magnetization, the calculation gives 0.826 μB per cell. Its density of states at the Fermi level is 5.14 states/eV per cell. The uncorrected energy is -19.23 eV per cell. The value obtained for the formation energy from raw total energies is 1.74 eV per atom.

The space group is P4/mmm (No. 123) and the conventional cell measures 4.313, 4.313 and 5.254 Å, with angles of 90.00, 90.00 and 90.00 degrees. The distinct sites, in fractional coordinates, are Be at (0.000, 0.500, 0.000), Si at (0.000, 0.000, 0.500), Ru at (0.500, 0.500, 0.500) and Pb at (0.500, 0.500, 0.000).



## BeTePbS2 (PBEsol)

Data for an optimized crystal structure of BeTePbS2.

For the total magnetization, the calculation gives 0.000 μB per cell. Its density of states at the Fermi level is 2.25 states/eV per cell. The uncorrected energy is -17.97 eV per cell. The value obtained for the formation energy from raw total energies is 0.46 eV per atom.

The space group is P4/mmm (No. 123) and the conventional cell measures 5.275, 5.275 and 4.448 Å, with angles of 90.00, 90.00 and 90.00 degrees. The distinct sites, in fractional coordinates, are Be at (0.000, 0.000, 0.000), Te at (0.000, 0.000, 0.500), Pb at (0.500, 0.500, 0.000) and S at (0.000, 0.500, 0.500).



## BeSbPb (PBEsol)

Data for an optimized crystal structure of BeSbPb.

For the total magnetization, the calculation gives 0.000 μB per cell. The calculation puts the polymorph energy (0 for the lowest one) at 0.170 eV per atom. Its density of states at the Fermi level is 5.07 states/eV per cell. The uncorrected energy is -45.77 eV per cell. The value obtained for the formation energy from raw total energies is 0.37 eV per atom.

The space group is F-43m (No. 216) and the conventional cell measures 6.563, 6.563 and 6.563 Å, with angles of 90.00, 90.00 and 90.00 degrees. The distinct sites, in fractional coordinates, are Be at (0.000, 0.000, 0.000), Sb at (0.250, 0.250, 0.250) and Pb at (0.250, 0.250, 0.750).



## BeSb2Pb (PBEsol)

Data for an optimized crystal structure of BeSb2Pb.

For the total magnetization, the calculation gives 0.000 μB per cell. The calculation puts the polymorph energy (0 for the lowest one) at 0.071 eV per atom. Its density of states at the Fermi level is 4.03 states/eV per cell. The uncorrected energy is -31.29 eV per cell. The value obtained for the formation energy from raw total energies is 0.37 eV per atom.

The space group is Cmm2 (No. 35) and the conventional cell measures 3.926, 5.187 and 9.132 Å, with angles of 90.00, 90.00 and 90.00 degrees. The distinct sites, in fractional coordinates, are Be at (0.000, 0.000, 0.000), Sb at (0.000, 0.000, 0.484), Sb at (0.000, 0.500, 0.174) and Pb at (0.000, 0.500, 0.786).



## BeSbPb2 (PBEsol)

Data for an optimized crystal structure of BeSbPb2.

For the total magnetization, the calculation gives 0.000 μB per cell. Its density of states at the Fermi level is 3.71 states/eV per cell. The uncorrected energy is -30.90 eV per cell. The value obtained for the formation energy from raw total energies is 0.28 eV per atom.

The space group is Immm (No. 71) and the conventional cell measures 3.557, 3.766 and 15.012 Å, with angles of 90.00, 90.00 and 90.00 degrees. The distinct sites, in fractional coordinates, are Be at (0.000, 0.000, 0.000), Sb at (0.000, 0.000, 0.500) and Pb at (0.000, 0.500, 0.329).



## BeSb2Pb (PBEsol)

Data for an optimized crystal structure of BeSb2Pb.

For the total magnetization, the calculation gives 0.000 μB per cell. The calculation puts the polymorph energy (0 for the lowest one) at 0.000 eV per atom. Its density of states at the Fermi level is 1.86 states/eV per cell. The uncorrected energy is -15.93 eV per cell. The value obtained for the formation energy from raw total energies is 0.30 eV per atom.

The space group is Pm (No. 6) and the conventional cell measures 4.763, 3.874 and 5.635 Å, with angles of 90.00, 105.61 and 90.00 degrees. The distinct sites, in fractional coordinates, are Be at (0.000, 0.000, 0.000), Sb at (0.245, 0.000, 0.438), Sb at (0.936, 0.500, 0.719) and Pb at (0.555, 0.500, 0.132).